! GGA-PBE CoCuPbW, optimized geometry; values from VASP
&SYSTEM
  ibrav = 0, nat = 4, ntyp = 4
/
ATOMIC_SPECIES
Co 58.93 Co.upf
Cu 63.55 Cu.upf
Pb 207.20 Pb.upf
W 183.84 W.upf
CELL_PARAMETERS angstrom
0.0000 3.1698 3.1698
3.1698 0.0000 3.1698
3.1698 3.1698 0.0000
ATOMIC_POSITIONS angstrom
Co 3.1698 3.1698 3.1698
Cu 4.7548 4.7548 4.7548
Pb 0.0000 0.0000 0.0000
W 1.5849 1.5849 1.5849
! Density (g cm⁻³): 13.39
! Polymorph energy (0 for the lowest one) (eV per atom): 0.109
! Size of the total moment (μB per formula unit): 0.77
! Energy (eV per atom): -6.001
! Symmetry: F-43m